Record 1
## PmTm4Mg2 (PBE-GGA)

Data for PmTm4Mg2 after structural relaxation.

Lattice parameters (Å, degrees): 3.488 34.477 3.445 90.00 90.00 90.00
Sites, in units of the cell vectors:
Pm1 0.000 0.000 0.000
Pm2 0.500 0.500 0.000
Tm1 0.000 0.147 0.000
Tm2 0.000 0.424 0.500
Tm3 0.000 0.576 0.500
Tm4 0.000 0.853 0.000
Tm5 0.500 0.076 0.500
Tm6 0.500 0.353 0.000
Tm7 0.500 0.647 0.000
Tm8 0.500 0.924 0.500
Mg1 0.000 0.287 0.500
Mg2 0.000 0.713 0.500
Mg3 0.500 0.213 0.500
Mg4 0.500 0.787 0.500

Formation energy: 41 meV/atom
Symmetry: Cmmm (65)


Record 2
## Li6Mg3Tl (PBE-GGA)

Data for Li6Mg3Tl after structural relaxation.

Lattice parameters (Å, degrees): 6.925 7.522 10.341 90.00 131.86 90.00
Sites, in units of the cell vectors:
Li1 0.111 0.119 0.142
Li2 0.111 0.381 0.642
Li3 0.132 0.184 0.877
Li4 0.132 0.316 0.377
Li5 0.340 0.639 0.369
Li6 0.340 0.861 0.869
Li7 0.660 0.139 0.131
Li8 0.660 0.361 0.631
Li9 0.868 0.684 0.623
Li10 0.868 0.816 0.123
Li11 0.889 0.619 0.358
Li12 0.889 0.881 0.858
Mg1 0.000 0.000 0.500
Mg2 0.000 0.500 0.000
Mg3 0.437 0.662 0.685
Mg4 0.437 0.838 0.185
Mg5 0.563 0.162 0.815
Mg6 0.563 0.338 0.315
Tl1 0.500 0.000 0.500
Tl2 0.500 0.500 0.000

Formation energy: -45 meV/atom
Symmetry: P2_1/c (14)


Record 3
## PmTl2Sb (PBE-GGA)

Data for PmTl2Sb after structural relaxation.

Lattice parameters (Å, degrees): 4.779 4.779 4.962 90.00 90.00 90.00
Sites, in units of the cell vectors:
Pm1 0.000 0.000 0.000
Tl1 0.000 0.500 0.500
Tl2 0.500 0.000 0.500
Sb1 0.500 0.500 0.000

Symmetry: P4/mmm (123)
Formation energy from raw total energies: -0.423 eV per atom


Record 4
## PrSmAgOs (PBE-GGA)

Data for PrSmAgOs after structural relaxation.

Lattice parameters (Å, degrees): 7.211 7.211 7.211 90.00 90.00 90.00
Sites, in units of the cell vectors:
Pr1 0.000 0.000 0.000
Pr2 0.000 0.500 0.500
Pr3 0.500 0.000 0.500
Pr4 0.500 0.500 0.000
Sm1 0.000 0.000 0.500
Sm2 0.000 0.500 0.000
Sm3 0.500 0.000 0.000
Sm4 0.500 0.500 0.500
Ag1 0.250 0.250 0.750
Ag2 0.250 0.750 0.250
Ag3 0.750 0.250 0.250
Ag4 0.750 0.750 0.750
Os1 0.250 0.250 0.250
Os2 0.250 0.750 0.750
Os3 0.750 0.250 0.750
Os4 0.750 0.750 0.250

Formation energy: -109 meV/atom
Symmetry: F-43m (216)


Record 5
## LaMnBe2 (PBE-GGA)

Data for LaMnBe2 after structural relaxation.

Lattice parameters (Å, degrees): 4.202 4.202 15.899 90.00 90.00 90.00
Sites, in units of the cell vectors:
La1 0.000 0.250 0.375
La2 0.000 0.750 0.625
La3 0.500 0.250 0.125
La4 0.500 0.750 0.875
Mn1 0.000 0.250 0.875
Mn2 0.000 0.750 0.125
Mn3 0.500 0.250 0.625
Mn4 0.500 0.750 0.375
Be1 0.000 0.000 0.000
Be2 0.000 0.500 0.000
Be3 0.250 0.250 0.750
Be4 0.250 0.750 0.250
Be5 0.500 0.000 0.500
Be6 0.500 0.500 0.500
Be7 0.750 0.250 0.750
Be8 0.750 0.750 0.250

Formation energy: 356 meV/atom
Symmetry: I4_1/amd (141)


Record 6
## La2Sm9Er (PBE-GGA)

Data for La2Sm9Er after structural relaxation.

Lattice parameters (Å, degrees): 5.144 5.144 15.452 90.00 90.00 90.00
Sites, in units of the cell vectors:
La1 0.000 0.000 0.168
La2 0.000 0.000 0.832
Sm1 0.000 0.500 0.000
Sm2 0.000 0.500 0.337
Sm3 0.000 0.500 0.663
Sm4 0.500 0.000 0.000
Sm5 0.500 0.000 0.337
Sm6 0.500 0.000 0.663
Sm7 0.500 0.500 0.169
Sm8 0.500 0.500 0.500
Sm9 0.500 0.500 0.831
Er1 0.000 0.000 0.500

Formation energy: 22 meV/atom
Symmetry: P4/mmm (123)


Record 7
## CdP2SO (PBE-GGA)

Data for CdP2SO after structural relaxation.

Lattice parameters (Å, degrees): 5.008 5.008 3.995 90.00 90.00 90.00
Sites, in units of the cell vectors:
Cd1 0.000 0.000 0.000
P1 0.000 0.500 0.000
P2 0.500 0.000 0.000
S1 0.500 0.500 0.500
O1 0.000 0.000 0.500

Symmetry: P4/mmm (123)
Formation energy from raw total energies: 1.118 eV per atom


Record 8
## PmPrInNi (PBE-GGA)

Data for PmPrInNi after structural relaxation.

Lattice parameters (Å, degrees): 7.457 7.457 7.457 90.00 90.00 90.00
Sites, in units of the cell vectors:
Pm1 0.000 0.000 0.000
Pm2 0.000 0.500 0.500
Pm3 0.500 0.000 0.500
Pm4 0.500 0.500 0.000
Pr1 0.000 0.000 0.500
Pr2 0.000 0.500 0.000
Pr3 0.500 0.000 0.000
Pr4 0.500 0.500 0.500
In1 0.250 0.250 0.750
In2 0.250 0.750 0.250
In3 0.750 0.250 0.250
In4 0.750 0.750 0.750
Ni1 0.250 0.250 0.250
Ni2 0.250 0.750 0.750
Ni3 0.750 0.250 0.750
Ni4 0.750 0.750 0.250

Formation energy: -224 meV/atom
Symmetry: F-43m (216)


Record 9
## AcThSbSe2 (PBE-GGA)

Data for AcThSbSe2 after structural relaxation.

Lattice parameters (Å, degrees): 4.650 4.650 14.965 90.00 90.00 90.00
Sites, in units of the cell vectors:
Ac1 0.000 0.000 0.000
Ac2 0.500 0.500 0.500
Th1 0.000 0.000 0.257
Th2 0.500 0.500 0.757
Sb1 0.000 0.000 0.638
Sb2 0.500 0.500 0.138
Se1 0.000 0.500 0.370
Se2 0.000 0.500 0.870
Se3 0.500 0.000 0.370
Se4 0.500 0.000 0.870

Symmetry: I4mm (107)
Formation energy from raw total energies: -1.231 eV per atom


Record 10
## Os2AuSe (PBE-GGA)

Data for Os2AuSe after structural relaxation.

Lattice parameters (Å, degrees): 3.033 4.060 5.412 90.00 105.10 90.00
Sites, in units of the cell vectors:
Os1 0.137 0.000 0.273
Os2 0.863 0.000 0.727
Au1 0.500 0.500 0.000
Se1 0.000 0.500 0.500

Symmetry: P2/m (10)
Formation energy from raw total energies: 0.871 eV per atom


Record 11
## CsLaS2 (PBE-GGA)

Data for CsLaS2 after structural relaxation.

Lattice parameters (Å, degrees): 4.352 4.352 24.212 90.00 90.00 120.00
Sites, in units of the cell vectors:
Cs1 0.000 0.000 0.000
Cs2 0.333 0.667 0.667
Cs3 0.667 0.333 0.333
La1 0.000 0.000 0.500
La2 0.333 0.667 0.167
La3 0.667 0.333 0.833
S1 0.000 0.000 0.229
S2 0.000 0.000 0.771
S3 0.333 0.667 0.438
S4 0.333 0.667 0.895
S5 0.667 0.333 0.105
S6 0.667 0.333 0.562

Symmetry: R-3m (166)
Formation energy from raw total energies: -1.888 eV per atom


Record 12
## YTa3Si (PBE-GGA)

Data for YTa3Si after structural relaxation.

Lattice parameters (Å, degrees): 4.781 4.781 4.781 90.00 90.00 90.00
Sites, in units of the cell vectors:
Y1 0.000 0.000 0.000
Ta1 0.000 0.500 0.500
Ta2 0.500 0.000 0.500
Ta3 0.500 0.500 0.000
Si1 0.500 0.500 0.500

Symmetry: Pm-3m (221)
Formation energy from raw total energies: 0.513 eV per atom


Record 13
## SrPaRhO6 (PBE-GGA)

Data for SrPaRhO6 after structural relaxation.

Lattice parameters (Å, degrees): 5.539 5.539 4.832 90.00 90.00 120.00
Sites, in units of the cell vectors:
Sr1 0.000 0.000 0.000
Pa1 0.333 0.667 0.500
Rh1 0.667 0.333 0.000
O1 0.394 0.020 0.757
O2 0.394 0.375 0.243
O3 0.625 0.020 0.243
O4 0.625 0.606 0.757
O5 0.980 0.375 0.757
O6 0.980 0.606 0.243

Symmetry: P312 (149)
Formation energy from raw total energies: -2.138 eV per atom